PBE+U BeVReF2, relaxed; crystal system = tetragonal; E = -5.003 eV per atom; symmetry = P4/mmm, No. 123; DOS(E_F) = 5.7 states/eV per cell
1.0
-1.596 3.242 -1.802
-4.267 -1.493 1.091
0.182 2.028 3.487
V F Be Re
1 2 1 1
direct
0.500 0.500 0.500 V
0.500 0.000 0.000 F
0.000 0.000 0.500 F
0.000 0.500 0.000 Be
0.000 0.000 0.000 Re